Entry 1:
LiTcAu2: optimized geometry, PBE.

The space group is I-4m2 (No. 119) and the conventional cell measures 3.9832, 3.9832 and 8.2491 Å, with angles of 90.00, 90.00 and 90.00 degrees. The asymmetric unit holds Li at (0.0000, 0.0000, 0.0000), Tc at (0.0000, 0.5000, 0.7500), Au at (0.0000, 0.0000, 0.5000) and Au at (0.0000, 0.5000, 0.2500).

As for the total energy: -4.52 eV per atom. For the density of states at the Fermi level, the calculation gives 3.9 states/eV per cell.

---

Entry 2:
BaCrOs: optimized geometry, PBE.

The space group is F-43m (No. 216) and the conventional cell measures 6.7605, 6.7605 and 6.7605 Å, with angles of 90.00, 90.00 and 90.00 degrees. The asymmetric unit holds Ba at (0.0000, 0.0000, 0.0000), Cr at (0.0000, 0.0000, 0.5000) and Os at (0.2500, 0.2500, 0.2500).

As for the total energy: -6.29 eV per atom. For the density of states at the Fermi level, the calculation gives 17.1 states/eV per cell.

---

Entry 3:
BaCdOs3: optimized geometry, PBE.

The space group is Pm-3m (No. 221) and the conventional cell measures 5.0382, 5.0382 and 5.0382 Å, with angles of 90.00, 90.00 and 90.00 degrees. The asymmetric unit holds Ba at (0.0000, 0.0000, 0.0000), Cd at (0.5000, 0.5000, 0.5000) and Os at (0.0000, 0.5000, 0.5000).

As for the total energy: -4.93 eV per atom. For the density of states at the Fermi level, the calculation gives 7.1 states/eV per cell.

---

Entry 4:
Li2ScPt: optimized geometry, PBE.

The space group is P2/m (No. 10) and the conventional cell measures 2.9550, 4.8576 and 4.7387 Å, with angles of 90.00, 93.76 and 90.00 degrees. The asymmetric unit holds Li at (0.2147, 0.0000, 0.2820), Sc at (0.5000, 0.5000, 0.0000) and Pt at (0.0000, 0.5000, 0.5000).

As for the total energy: -4.50 eV per atom. For the density of states at the Fermi level, the calculation gives 3.2 states/eV per cell.

---

Entry 5:
LaRu2W: optimized geometry, PBE.

The space group is I-4m2 (No. 119) and the conventional cell measures 4.1352, 4.1352 and 8.3506 Å, with angles of 90.00, 90.00 and 90.00 degrees. The asymmetric unit holds La at (0.0000, 0.0000, 0.0000), Ru at (0.0000, 0.0000, 0.5000), Ru at (0.0000, 0.5000, 0.7500) and W at (0.0000, 0.5000, 0.2500).

As for the total energy: -8.47 eV per atom. For the density of states at the Fermi level, the calculation gives 9.8 states/eV per cell.

---

Entry 6:
Cs2Na5Br3O2: optimized geometry, PBE.

The space group is I4/mmm (No. 139) and the conventional cell measures 4.8368, 4.8368 and 27.3393 Å, with angles of 90.00, 90.00 and 90.00 degrees. The asymmetric unit holds Cs at (0.0000, 0.0000, 0.1862), Na at (0.0000, 0.0000, 0.0000), Na at (0.0000, 0.5000, 0.0819), Br at (0.0000, 0.0000, 0.3377), Br at (0.0000, 0.0000, 0.5000) and O at (0.0000, 0.0000, 0.0831).

As for the total energy: -3.34 eV per atom. For the density of states at the Fermi level, the calculation gives 0.0 states/eV per cell. Its uncorrected formation energy is -1407 meV/atom.

---

Entry 7:
KAlGaBr2: optimized geometry, PBE.

The space group is P4/mmm (No. 123) and the conventional cell measures 5.5040, 5.5040 and 6.5982 Å, with angles of 90.00, 90.00 and 90.00 degrees. The asymmetric unit holds K at (0.0000, 0.0000, 0.0000), Al at (0.0000, 0.0000, 0.5000), Ga at (0.5000, 0.5000, 0.0000) and Br at (0.0000, 0.5000, 0.5000).

As for the total energy: -2.32 eV per atom. For the density of states at the Fermi level, the calculation gives 2.5 states/eV per cell. Its uncorrected formation energy is -79 meV/atom.

---

Entry 8:
LaMn8: optimized geometry, PBE.

The space group is I4/mmm (No. 139) and the conventional cell measures 7.8163, 7.8163 and 3.8063 Å, with angles of 90.00, 90.00 and 90.00 degrees. The asymmetric unit holds La at (0.0000, 0.0000, 0.0000), Mn at (0.0000, 0.3593, 0.0000) and Mn at (0.1986, 0.1986, 0.5000).

As for the total energy: -8.45 eV per atom. For the density of states at the Fermi level, the calculation gives 13.9 states/eV per cell.

---

Entry 9:
ZrNiBi3: optimized geometry, PBE.

The space group is Pm-3m (No. 221) and the conventional cell measures 5.1329, 5.1329 and 5.1329 Å, with angles of 90.00, 90.00 and 90.00 degrees. The asymmetric unit holds Zr at (0.0000, 0.0000, 0.0000), Ni at (0.5000, 0.5000, 0.5000) and Bi at (0.0000, 0.5000, 0.5000).

As for the total energy: -4.78 eV per atom. For the density of states at the Fermi level, the calculation gives 4.3 states/eV per cell.

---

Entry 10:
Li3Pm2YSe6: optimized geometry, PBE.

The space group is C2/m (No. 12) and the conventional cell measures 7.1750, 12.4287 and 6.9448 Å, with angles of 90.00, 110.14 and 90.00 degrees. The asymmetric unit holds Li at (0.0000, 0.0000, 0.0000), Li at (0.0000, 0.3353, 0.0000), Pm at (0.0000, 0.1668, 0.5000), Y at (0.0000, 0.5000, 0.5000), Se at (0.2420, 0.5000, 0.2442) and Se at (0.2494, 0.3364, 0.7572).

As for the total energy: -5.23 eV per atom. For the density of states at the Fermi level, the calculation gives 0.0 states/eV per cell. Its uncorrected formation energy is -1683 meV/atom.

---

Entry 11:
SrLuTlHg: optimized geometry, PBE.

The space group is F-43m (No. 216) and the conventional cell measures 7.7381, 7.7381 and 7.7381 Å, with angles of 90.00, 90.00 and 90.00 degrees. The asymmetric unit holds Sr at (0.0000, 0.0000, 0.0000), Lu at (0.0000, 0.0000, 0.5000), Tl at (0.2500, 0.2500, 0.2500) and Hg at (0.2500, 0.2500, 0.7500).

As for the total energy: -2.58 eV per atom. For the density of states at the Fermi level, the calculation gives 10.8 states/eV per cell.

---

Entry 12:
Li2MgAl2Ag2: optimized geometry, PBE.

The space group is C2/m (No. 12) and the conventional cell measures 7.8761, 4.5203 and 7.0066 Å, with angles of 90.00, 111.84 and 90.00 degrees. The asymmetric unit holds Li at (0.1474, 0.0000, 0.4410), Mg at (0.0000, 0.0000, 0.0000), Al at (0.0707, 0.5000, 0.7140) and Ag at (0.2198, 0.5000, 0.1585).

As for the total energy: -2.88 eV per atom. For the density of states at the Fermi level, the calculation gives 3.1 states/eV per cell.

---

Q: Which formula does entry 12 have?
A: Li2MgAl2Ag2